## GdGePb (PBE-GGA)

Data for GdGePb after structural relaxation.

## Properties
E above lowest polymorph, kcal/mol of atoms: 3.44

Cell lengths 5.039, 5.039, 5.039 Å; angles 60.00, 60.00, 60.00 degrees
Fractional coordinates of all 3 atoms:
Pb 0.750 0.750 0.750
Ge 0.250 0.250 0.250
Gd 0.000 0.000 0.000

## GdGePb (PBE-GGA)

Data for GdGePb after structural relaxation.

## Properties
E above lowest polymorph, kcal/mol of atoms: 0.00

Cell lengths 4.983, 4.983, 4.983 Å; angles 60.00, 60.00, 60.00 degrees
Fractional coordinates of all 3 atoms:
Ge 0.000 0.000 0.000
Gd 0.250 0.250 0.250
Pb 0.750 0.750 0.750

## GdGePbS3 (PBE-GGA)

Data for GdGePbS3 after structural relaxation.

## Properties
VASP energy, eV/cell: -60.4

Cell lengths 7.631, 7.631, 9.751 Å; angles 90.00, 90.00, 148.92 degrees
Fractional coordinates of all 12 atoms:
Gd 0.000 0.000 0.500
Gd 0.000 0.000 0.000
S 0.366 0.634 0.461
S 0.634 0.366 0.539
S 0.104 0.896 0.250
S 0.366 0.634 0.039
S 0.896 0.104 0.750
S 0.634 0.366 0.961
Pb 0.731 0.269 0.250
Pb 0.269 0.731 0.750
Ge 0.554 0.446 0.750
Ge 0.446 0.554 0.250

## GdGePbSe3 (PBE-GGA)

Data for GdGePbSe3 after structural relaxation.

## Properties
VASP energy, eV/cell: -55.9

Cell lengths 7.653, 7.653, 10.386 Å; angles 90.00, 90.00, 148.11 degrees
Fractional coordinates of all 12 atoms:
Se 0.104 0.896 0.250
Se 0.896 0.104 0.750
Se 0.640 0.360 0.961
Se 0.360 0.640 0.039
Se 0.360 0.640 0.461
Se 0.640 0.360 0.539
Ge 0.454 0.546 0.250
Ge 0.546 0.454 0.750
Gd 0.000 0.000 0.000
Gd 0.000 0.000 0.500
Pb 0.254 0.746 0.750
Pb 0.746 0.254 0.250

## GdGePd (PBE-GGA)

Data for GdGePd after structural relaxation.

## Properties
VASP energy, eV/cell: -139.4

Cell lengths 4.443, 14.185, 7.641 Å; angles 90.00, 90.00, 90.00 degrees
Fractional coordinates of all 24 atoms:
Gd 0.750 0.750 0.297
Gd 0.250 0.750 0.710
Gd 0.250 0.250 0.703
Gd 0.750 0.250 0.290
Gd 0.250 0.498 0.787
Gd 0.750 0.502 0.213
Gd 0.250 0.002 0.787
Gd 0.750 0.998 0.213
Ge 0.250 0.105 0.409
Ge 0.750 0.154 0.910
Ge 0.750 0.895 0.591
Ge 0.250 0.395 0.409
Ge 0.250 0.846 0.090
Ge 0.750 0.346 0.910
Ge 0.250 0.654 0.090
Ge 0.750 0.605 0.591
Pd 0.750 0.404 0.582
Pd 0.250 0.358 0.077
Pd 0.250 0.596 0.418
Pd 0.250 0.904 0.418
Pd 0.750 0.096 0.582
Pd 0.750 0.642 0.923
Pd 0.250 0.142 0.077
Pd 0.750 0.858 0.923

## Gd2GePd (PBE-GGA)

Data for Gd2GePd after structural relaxation.

## Properties
VASP energy, eV/cell: -22.6

Cell lengths 4.275, 5.843, 5.843 Å; angles 40.07, 90.00, 90.00 degrees
Fractional coordinates of all 4 atoms:
Pd 0.500 0.580 0.580
Gd 0.000 0.140 0.140
Gd 0.500 0.861 0.861
Ge 0.000 0.419 0.419

## GdGePd (PBE-GGA)

Data for GdGePd after structural relaxation.

## Properties
VASP energy, eV/cell: -209.2

Cell lengths 21.274, 4.445, 7.642 Å; angles 90.00, 90.00, 90.00 degrees
Fractional coordinates of all 36 atoms:
Ge 0.928 0.750 0.909
Ge 0.233 0.750 0.588
Ge 0.072 0.250 0.091
Ge 0.733 0.750 0.912
Ge 0.898 0.250 0.411
Ge 0.602 0.750 0.911
Ge 0.428 0.750 0.591
Ge 0.398 0.250 0.089
Ge 0.267 0.250 0.088
Ge 0.102 0.750 0.589
Ge 0.767 0.250 0.412
Ge 0.572 0.250 0.409
Pd 0.436 0.250 0.417
Pd 0.237 0.250 0.420
Pd 0.406 0.750 0.921
Pd 0.737 0.250 0.080
Pd 0.906 0.750 0.579
Pd 0.936 0.250 0.083
Pd 0.594 0.250 0.079
Pd 0.064 0.750 0.917
Pd 0.564 0.750 0.583
Pd 0.763 0.750 0.580
Pd 0.263 0.750 0.920
Pd 0.094 0.250 0.421
Gd 0.001 0.250 0.715
Gd 0.834 0.750 0.209
Gd 0.333 0.250 0.711
Gd 0.667 0.750 0.289
Gd 0.501 0.250 0.785
Gd 0.666 0.250 0.709
Gd 0.334 0.750 0.291
Gd 0.999 0.750 0.285
Gd 0.499 0.750 0.215
Gd 0.166 0.250 0.791
Gd 0.167 0.750 0.211
Gd 0.833 0.250 0.789

## GdGePd2 (PBE-GGA)

Data for GdGePd2 after structural relaxation.

## Properties
VASP energy, eV/cell: -93.1

Cell lengths 7.438, 7.152, 5.652 Å; angles 90.00, 90.00, 90.00 degrees
Fractional coordinates of all 16 atoms:
Ge 0.380 0.750 0.856
Ge 0.880 0.750 0.644
Ge 0.620 0.250 0.144
Ge 0.120 0.250 0.356
Pd 0.182 0.948 0.588
Pd 0.819 0.448 0.412
Pd 0.682 0.552 0.912
Pd 0.682 0.948 0.912
Pd 0.182 0.552 0.588
Pd 0.819 0.052 0.412
Pd 0.318 0.052 0.088
Pd 0.318 0.448 0.088
Gd 0.472 0.250 0.645
Gd 0.972 0.250 0.855
Gd 0.028 0.750 0.145
Gd 0.528 0.750 0.355

## Gd6Ge2Pd (PBE-GGA)

Data for Gd6Ge2Pd after structural relaxation.

## Properties
VASP energy, eV/cell: -47.7

Cell lengths 7.987, 7.987, 4.248 Å; angles 90.00, 90.00, 120.00 degrees
Fractional coordinates of all 9 atoms:
Pd 0.000 0.000 0.000
Ge 0.667 0.333 0.500
Ge 0.333 0.667 0.500
Gd 0.000 0.409 0.000
Gd 0.741 0.000 0.500
Gd 0.409 0.000 0.000
Gd 0.000 0.741 0.500
Gd 0.259 0.259 0.500
Gd 0.591 0.591 0.000

## Gd2GePd4 (PBE-GGA)

Data for Gd2GePd4 after structural relaxation.

## Properties
VASP energy, eV/cell: -38.9

Cell lengths 5.877, 5.877, 4.170 Å; angles 90.00, 90.00, 90.00 degrees
Fractional coordinates of all 7 atoms:
Pd 0.752 0.752 0.498
Pd 0.752 0.248 0.502
Pd 0.248 0.752 0.502
Pd 0.248 0.248 0.498
Ge 0.000 0.000 0.000
Gd 0.500 0.000 0.000
Gd 0.000 0.500 0.000

## GdGePd (PBE-GGA)

Data for GdGePd after structural relaxation.

## Properties
VASP energy, eV/cell: -17.3

Cell lengths 4.446, 4.446, 3.575 Å; angles 90.00, 90.00, 120.00 degrees
Fractional coordinates of all 3 atoms:
Pd 0.333 0.667 0.500
Ge 0.667 0.333 0.500
Gd 0.000 0.000 0.000

## Gd6GePd2 (PBE-GGA)

Data for Gd6GePd2 after structural relaxation.

## Properties
VASP energy, eV/cell: -47.7

Cell lengths 7.810, 7.810, 4.467 Å; angles 90.00, 90.00, 120.00 degrees
Fractional coordinates of all 9 atoms:
Gd 0.734 0.000 0.000
Gd 0.601 0.601 0.500
Gd 0.399 0.000 0.500
Gd 0.000 0.399 0.500
Gd 0.000 0.734 0.000
Gd 0.266 0.266 0.000
Ge 0.000 0.000 0.500
Pd 0.667 0.333 0.000
Pd 0.333 0.667 0.000

## Pr2GdGe3PdPt2 (PBE-GGA)

Data for Pr2GdGe3PdPt2 after structural relaxation.

## Properties
VASP energy, eV/cell: -53.9

Cell lengths 4.019, 7.373, 7.373 Å; angles 119.81, 90.00, 90.00 degrees
Fractional coordinates of all 9 atoms:
Gd 0.000 0.593 0.593
Pd 0.000 0.994 0.994
Pt 0.500 0.664 0.342
Pt 0.500 0.342 0.664
Ge 0.500 0.996 0.750
Ge 0.500 0.252 0.252
Ge 0.500 0.750 0.996
Pr 0.000 0.001 0.410
Pr 0.000 0.410 0.001

## Gd2Ge2Pd3Pt (PBE-GGA)

Data for Gd2Ge2Pd3Pt after structural relaxation.

## Properties
VASP energy, eV/cell: -47.1

Cell lengths 4.403, 4.403, 9.139 Å; angles 90.00, 90.00, 120.00 degrees
Fractional coordinates of all 8 atoms:
Pt 0.000 0.000 0.919
Gd 0.000 0.000 0.250
Gd 0.333 0.667 0.752
Ge 0.667 0.333 0.996
Ge 0.667 0.333 0.498
Pd 0.000 0.000 0.580
Pd 0.333 0.667 0.085
Pd 0.333 0.667 0.420

## Gd2Ge2PdPt3 (PBE-GGA)

Data for Gd2Ge2PdPt3 after structural relaxation.

## Properties
VASP energy, eV/cell: -49.4

Cell lengths 4.400, 4.400, 9.180 Å; angles 90.00, 90.00, 120.00 degrees
Fractional coordinates of all 8 atoms:
Pt 0.000 0.000 0.415
Pt 0.667 0.333 0.922
Pt 0.667 0.333 0.584
Ge 0.333 0.667 0.499
Ge 0.333 0.667 0.994
Pd 0.000 0.000 0.083
Gd 0.000 0.000 0.751
Gd 0.667 0.333 0.253

## TbGd2Ge3PdPt2 (PBE-GGA)

Data for TbGd2Ge3PdPt2 after structural relaxation.

## Properties
VASP energy, eV/cell: -54.2

Cell lengths 3.935, 7.273, 7.273 Å; angles 119.95, 90.00, 90.00 degrees
Fractional coordinates of all 9 atoms:
Gd 0.000 0.593 0.000
Gd 0.000 0.000 0.593
Pd 0.000 0.001 0.001
Pt 0.500 0.665 0.334
Pt 0.500 0.334 0.665
Ge 0.500 0.254 0.001
Ge 0.500 0.001 0.254
Ge 0.500 0.746 0.746
Tb 0.000 0.407 0.407

## Gd2TmGe3PdPt2 (PBE-GGA)

Data for Gd2TmGe3PdPt2 after structural relaxation.

## Properties
VASP energy, eV/cell: -54.1

Cell lengths 3.924, 7.239, 7.239 Å; angles 119.67, 90.00, 90.00 degrees
Fractional coordinates of all 9 atoms:
Gd 0.000 0.593 0.000
Gd 0.000 0.000 0.593
Ge 0.500 0.002 0.255
Ge 0.500 0.745 0.745
Ge 0.500 0.255 0.002
Pt 0.500 0.335 0.662
Pt 0.500 0.662 0.335
Pd 0.000 0.005 0.005
Tm 0.000 0.405 0.405

## Gd2YGe3PdPt2 (PBE-GGA)

Data for Gd2YGe3PdPt2 after structural relaxation.

## Properties
VASP energy, eV/cell: -56.0

Cell lengths 3.934, 7.267, 7.267 Å; angles 119.91, 90.00, 90.00 degrees
Fractional coordinates of all 9 atoms:
Pd 0.000 0.001 0.001
Gd 0.000 0.000 0.593
Gd 0.000 0.593 0.000
Ge 0.500 0.745 0.745
Ge 0.500 0.001 0.255
Ge 0.500 0.255 0.001
Pt 0.500 0.334 0.666
Pt 0.500 0.666 0.334
Y 0.000 0.405 0.405

## GdTmGe2Pd4 (PBE-GGA)

Data for GdTmGe2Pd4 after structural relaxation.

## Properties
VASP energy, eV/cell: -40.4

Cell lengths 5.384, 8.502, 8.502 Å; angles 32.84, 90.00, 90.00 degrees
Fractional coordinates of all 8 atoms:
Gd 0.000 0.103 0.103
Pd 0.259 0.418 0.418
Pd 0.741 0.418 0.418
Pd 0.262 0.585 0.585
Pd 0.738 0.585 0.585
Ge 0.000 0.715 0.715
Ge 0.000 0.287 0.287
Tm 0.000 0.893 0.893

## GdYGe2Pd (PBE-GGA)

Data for GdYGe2Pd after structural relaxation.

## Properties
VASP energy, eV/cell: -60.5

Cell lengths 5.746, 5.746, 10.397 Å; angles 115.44, 115.44, 44.58 degrees
Fractional coordinates of all 10 atoms:
Y 0.815 0.815 0.392
Y 0.185 0.185 0.608
Pd 0.724 0.724 0.847
Pd 0.276 0.276 0.153
Ge 0.639 0.639 0.067
Ge 0.474 0.474 0.614
Ge 0.526 0.526 0.386
Ge 0.361 0.361 0.933
Gd 0.010 0.010 0.829
Gd 0.990 0.990 0.171

## GdYGe4Pd2 (PBE-GGA)

Data for GdYGe4Pd2 after structural relaxation.

## Properties
VASP energy, eV/cell: -45.8

Cell lengths 4.378, 9.066, 9.066 Å; angles 26.33, 90.00, 90.00 degrees
Fractional coordinates of all 8 atoms:
Ge 0.000 0.534 0.534
Ge 0.000 0.254 0.254
Ge 0.500 0.466 0.466
Ge 0.500 0.746 0.746
Y 0.500 0.105 0.105
Gd 0.000 0.894 0.894
Pd 0.000 0.671 0.671
Pd 0.500 0.329 0.329

## GdYGe2Pd4 (PBE-GGA)

Data for GdYGe2Pd4 after structural relaxation.

## Properties
VASP energy, eV/cell: -47.8

Cell lengths 4.404, 4.404, 9.080 Å; angles 90.00, 90.00, 120.00 degrees
Fractional coordinates of all 8 atoms:
Gd 0.000 0.000 0.000
Pd 0.667 0.333 0.169
Pd 0.667 0.333 0.831
Pd 0.000 0.000 0.668
Pd 0.000 0.000 0.332
Y 0.667 0.333 0.500
Ge 0.333 0.667 0.252
Ge 0.333 0.667 0.748

| no. | total moment (μB/f.u.) |
| --- | --- |
| 1 | 0.01 |
| 2 | 0.01 |
| 3 | 0.00 |
| 4 | 0.00 |
| 5 | 0.00 |
| 6 | 0.01 |
| 7 | 0.00 |
| 8 | 0.00 |
| 9 | 2.24 |
| 10 | 0.00 |
| 11 | 0.00 |
| 12 | 0.00 |
| 13 | 0.00 |
| 14 | 0.00 |
| 15 | 0.00 |
| 16 | 0.00 |
| 17 | 0.00 |
| 18 | 0.00 |
| 19 | 0.00 |
| 20 | 0.32 |
| 21 | 0.02 |
| 22 | 0.01 |